No. 1
K3ReN4 PBE optimized geometry; space group = No. 5; formation energy from raw total energies = -0.096 eV per atom; total moment = 0.000 μB/f.u.
1.0
1.112 3.656 4.380
1.061 -2.644 5.635
6.066 0.614 1.645
Re K N
1 3 4
direct
0.500 0.564 0.436 Re
0.217 0.318 0.232 K
0.000 0.057 0.943 K
0.783 0.768 0.682 K
0.683 0.509 0.137 N
0.317 0.863 0.491 N
0.380 0.303 0.732 N
0.620 0.268 0.697 N

No. 2
Li2PmZn10 PBE optimized geometry; space group = No. 69; formation energy = -197 meV/atom; total moment = 0.000 μB/f.u.
1.0
4.359 0.000 2.321
2.180 6.468 1.160
-0.853 0.000 6.856
Li Pm Zn
2 1 10
direct
0.000 0.000 0.500 Li
0.500 0.000 0.500 Li
0.000 0.000 0.000 Pm
0.006 0.348 0.640 Zn
0.994 0.652 0.360 Zn
0.646 0.348 0.360 Zn
0.354 0.652 0.640 Zn
0.500 0.500 0.000 Zn
0.000 0.500 0.000 Zn
0.495 0.784 0.226 Zn
0.505 0.216 0.774 Zn
0.721 0.784 0.774 Zn
0.279 0.216 0.226 Zn

No. 3
Ni2AgPbCl PBE optimized geometry; space group = No. 123; formation energy from raw total energies = 0.497 eV per atom; total moment = 0.000 μB/f.u.
1.0
4.228 0.000 0.000
0.000 5.619 0.000
0.000 0.000 4.228
Pb Ni Ag Cl
1 2 1 1
direct
0.500 0.500 0.500 Pb
0.000 0.000 0.500 Ni
0.500 0.000 0.000 Ni
0.000 0.500 0.000 Ag
0.000 0.000 0.000 Cl

No. 4
SrAl3Zn6 PBE optimized geometry; space group = No. 14; formation energy = -79 meV/atom; total moment = 0.000 μB/f.u.
1.0
-2.955 -5.455 3.162
5.198 -0.080 4.719
-5.617 4.664 2.798
Sr Al Zn
2 6 12
direct
0.500 0.500 0.500 Sr
0.000 0.000 0.000 Sr
0.858 0.839 0.560 Al
0.500 0.000 0.500 Al
0.142 0.161 0.440 Al
0.642 0.339 0.060 Al
0.000 0.500 0.000 Al
0.358 0.661 0.940 Al
0.216 0.865 0.637 Zn
0.042 0.542 0.672 Zn
0.277 0.264 0.778 Zn
0.723 0.736 0.222 Zn
0.958 0.458 0.328 Zn
0.784 0.135 0.363 Zn
0.284 0.365 0.137 Zn
0.458 0.042 0.172 Zn
0.223 0.764 0.278 Zn
0.777 0.236 0.722 Zn
0.542 0.958 0.828 Zn
0.716 0.635 0.863 Zn

No. 5
NaCaTe2Mo PBE optimized geometry; space group = No. 123; formation energy from raw total energies = 0.097 eV per atom; total moment = 0.001 μB/f.u.
1.0
5.336 0.000 0.000
0.000 5.304 0.000
0.000 0.000 5.336
Na Mo Te Ca
1 1 2 1
direct
0.000 0.500 0.000 Na
0.000 0.000 0.000 Mo
0.000 0.000 0.500 Te
0.500 0.000 0.000 Te
0.500 0.500 0.500 Ca

No. 6
Pr3IrPb PBE optimized geometry; space group = No. 65; relative energy among the computed polymorphs = 2.53 kcal/mol of atoms; formation energy = -468 meV/atom; total moment = 0.000 μB/f.u.
1.0
-1.054 3.839 -1.582
-4.017 -3.976 -6.975
-8.604 -1.503 2.082
Pr Ir Pb
6 2 2
direct
0.864 0.373 0.822 Pr
0.864 0.015 0.671 Pr
0.863 0.618 0.068 Pr
0.363 0.018 0.070 Pr
0.863 0.770 0.425 Pr
0.363 0.370 0.423 Pr
0.363 0.694 0.246 Ir
0.364 0.194 0.746 Ir
0.363 0.694 0.746 Pb
0.863 0.194 0.246 Pb